[1]
GGA-PBE Ac2AlCuS5, optimized geometry; calculated volume = 204 Å³/f.u.; density = 5.73 g/cm³; raw formation energy = -13.88 eV/f.u.; space-group type = Cmc2_1
1.0
2.048 -8.688 0.000
2.048 8.688 0.000
0.000 0.000 11.475
Ac Al Cu S
4 2 2 10
Direct
0.117 0.883 0.500
0.122 0.878 0.118
0.878 0.122 0.618
0.883 0.117 0.000
0.406 0.594 0.285
0.594 0.406 0.785
0.241 0.759 0.898
0.759 0.241 0.398
0.043 0.957 0.858
0.305 0.695 0.153
0.310 0.690 0.448
0.357 0.643 0.811
0.491 0.509 0.112
0.509 0.491 0.612
0.643 0.357 0.311
0.690 0.310 0.948
0.695 0.305 0.653
0.957 0.043 0.358

***

[2]
GGA-PBE AcScAlCu, optimized geometry; calculated volume = 98 Å³/f.u.; formation enthalpy at 0 K = -0.101 eV per atom; density = 6.15 g/cm³; space-group type = F-43m
1.0
0.000 3.657 3.657
3.657 0.000 3.657
3.657 3.657 0.000
Ac Sc Al Cu
1 1 1 1
Direct
0.000 0.000 0.000
0.500 0.500 0.500
0.250 0.250 0.250
0.750 0.750 0.750

***

[3]
GGA-PBE Ac2AlCu4Si3, optimized geometry; calculated volume = 186 Å³/f.u.; density = 7.31 g/cm³; raw formation energy = -4.54 eV/f.u.; space-group type = P-4m2
1.0
4.246 0.000 0.000
0.000 4.246 0.000
0.000 0.000 10.329
Ac Al Cu Si
2 1 4 3
Direct
0.000 0.500 0.242
0.500 0.000 0.758
0.000 0.000 0.500
0.000 0.000 0.000
0.000 0.500 0.632
0.500 0.000 0.368
0.500 0.500 0.000
0.000 0.500 0.876
0.500 0.000 0.124
0.500 0.500 0.500

***

[4]
GGA-PBE Ac2Al4CuSi3, optimized geometry; calculated volume = 206 Å³/f.u.; density = 5.71 g/cm³; raw formation energy = -3.30 eV/f.u.; space-group type = P-4m2
1.0
4.537 0.000 0.000
0.000 4.537 0.000
0.000 0.000 10.027
Ac Al Cu Si
2 4 1 3
Direct
0.000 0.500 0.241
0.500 0.000 0.759
0.000 0.000 0.500
0.000 0.500 0.882
0.500 0.000 0.118
0.500 0.500 0.500
0.500 0.500 0.000
0.000 0.000 0.000
0.000 0.500 0.624
0.500 0.000 0.376

***

[5]
GGA-PBE Ac2AlCu3Si4, optimized geometry; calculated volume = 188 Å³/f.u.; density = 6.92 g/cm³; raw formation energy = -4.63 eV/f.u.; space-group type = P-4m2
1.0
4.285 0.000 0.000
0.000 4.285 0.000
0.000 0.000 10.245
Ac Al Cu Si
2 1 3 4
Direct
0.000 0.500 0.244
0.500 0.000 0.756
0.000 0.000 0.500
0.000 0.500 0.880
0.500 0.000 0.120
0.500 0.500 0.500
0.000 0.000 0.000
0.000 0.500 0.637
0.500 0.000 0.363
0.500 0.500 0.000

***

[6]
GGA-PBE Ac2AlCu6Si, optimized geometry; calculated volume = 192 Å³/f.u.; density = 7.71 g/cm³; raw formation energy = -2.25 eV/f.u.; space-group type = P-1
1.0
6.247 0.000 0.000
3.110 5.450 0.000
3.100 1.785 5.635
Ac Al Cu Si
2 1 6 1
Direct
0.211 0.209 0.365
0.789 0.791 0.635
0.500 0.500 0.500
0.246 0.648 0.859
0.247 0.247 0.855
0.351 0.748 0.143
0.649 0.252 0.857
0.753 0.753 0.145
0.754 0.352 0.141
0.000 0.000 0.000

***

[7]
GGA-PBE Ac3AlCu6Si2, optimized geometry; calculated volume = 260 Å³/f.u.; density = 7.31 g/cm³; raw formation energy = -2.47 eV/f.u.; space-group type = P-3m1
1.0
6.218 0.000 0.000
-3.109 5.385 0.000
0.000 0.000 7.767
Ac Al Cu Si
3 1 6 2
Direct
0.000 0.000 0.000
0.333 0.667 0.745
0.667 0.333 0.255
0.000 0.000 0.500
0.199 0.398 0.381
0.199 0.801 0.381
0.398 0.199 0.619
0.602 0.801 0.381
0.801 0.199 0.619
0.801 0.602 0.619
0.333 0.667 0.140
0.667 0.333 0.860

***

[8]
GGA-PBE Ac2Al3Cu4Sn, optimized geometry; calculated volume = 208 Å³/f.u.; formation enthalpy at 0 K = -0.352 eV per atom; density = 7.26 g/cm³; space-group type = P-4m2
1.0
4.472 0.000 0.000
0.000 4.472 0.000
0.000 0.000 10.386
Ac Al Cu Sn
2 3 4 1
Direct
0.000 0.500 0.238
0.500 0.000 0.762
0.000 0.500 0.886
0.500 0.000 0.114
0.500 0.500 0.500
0.000 0.000 0.000
0.000 0.500 0.641
0.500 0.000 0.359
0.500 0.500 0.000
0.000 0.000 0.500

***

[9]
GGA-PBE Ac2Al4Cu3Sn, optimized geometry; calculated volume = 212 Å³/f.u.; formation enthalpy at 0 K = -0.372 eV per atom; density = 6.84 g/cm³; space-group type = P-4m2
1.0
4.402 0.000 0.000
0.000 4.402 0.000
0.000 0.000 10.916
Ac Al Cu Sn
2 4 3 1
Direct
0.000 0.500 0.241
0.500 0.000 0.759
0.000 0.000 0.000
0.000 0.500 0.649
0.500 0.000 0.351
0.500 0.500 0.000
0.000 0.500 0.878
0.500 0.000 0.122
0.500 0.500 0.500
0.000 0.000 0.500

***

[10]
GGA-PBE Ac2AlCu3Sn4, optimized geometry; calculated volume = 236 Å³/f.u.; formation enthalpy at 0 K = -0.423 eV per atom; density = 8.08 g/cm³; space-group type = P-4m2
1.0
4.636 0.000 0.000
0.000 4.636 0.000
0.000 0.000 10.969
Ac Al Cu Sn
2 1 3 4
Direct
0.000 0.500 0.249
0.500 0.000 0.751
0.500 0.500 0.000
0.000 0.000 0.000
0.000 0.500 0.629
0.500 0.000 0.371
0.000 0.000 0.500
0.000 0.500 0.865
0.500 0.000 0.135
0.500 0.500 0.500

***

[11]
GGA-PBE SrAcAlCu, optimized geometry; calculated volume = 117 Å³/f.u.; E above lowest polymorph = 57 meV/atom; formation enthalpy at 0 K = -0.079 eV per atom; density = 5.74 g/cm³; space-group type = F-43m
1.0
0.000 3.884 3.884
3.884 0.000 3.884
3.884 3.884 0.000
Sr Ac Al Cu
1 1 1 1
Direct
0.000 0.000 0.000
0.500 0.500 0.500
0.750 0.750 0.750
0.250 0.250 0.250

***

[12]
GGA-PBE SrAcAlCu, optimized geometry; calculated volume = 134 Å³/f.u.; E above lowest polymorph = 0 meV/atom; formation enthalpy at 0 K = -0.136 eV per atom; density = 5.03 g/cm³; space-group type = Cm
1.0
3.769 -2.180 0.000
3.769 2.180 0.000
-2.521 0.000 8.138
Sr Ac Al Cu
1 1 1 1
Direct
0.000 0.000 0.000
0.179 0.179 0.534
0.758 0.758 0.274
0.425 0.425 0.276